[1]
Density functional theory data (GGA-PBEsol) for a relaxed structure of Li2CoSnP2O8.

Calculated values
VASP energy: -384.854 eV per cell
Polymorph energy (0 for the lowest one): 0.0 meV per atom

Cell: 4.750 6.073 23.294 Å, 90.00 92.19 90.00°
Fractional coordinates of all 56 atoms:
Li 0.000 0.000 0.000
Li 0.000 0.000 0.500
Li 0.000 0.500 0.000
Li 0.000 0.500 0.500
Li 0.381 0.060 0.277
Li 0.381 0.440 0.777
Li 0.619 0.560 0.223
Li 0.619 0.940 0.723
Co 0.413 0.248 0.902
Co 0.413 0.252 0.402
Co 0.587 0.748 0.598
Co 0.587 0.752 0.098
Sn 0.035 0.249 0.135
Sn 0.035 0.251 0.635
Sn 0.965 0.749 0.365
Sn 0.965 0.751 0.865
P 0.184 0.748 0.678
P 0.184 0.752 0.178
P 0.414 0.748 0.961
P 0.414 0.752 0.461
P 0.586 0.248 0.539
P 0.586 0.252 0.039
P 0.816 0.248 0.822
P 0.816 0.252 0.322
O 0.138 0.226 0.329
O 0.138 0.274 0.829
O 0.262 0.549 0.432
O 0.262 0.951 0.932
O 0.264 0.543 0.932
O 0.264 0.957 0.432
O 0.265 0.246 0.546
O 0.265 0.254 0.046
O 0.288 0.564 0.637
O 0.288 0.936 0.137
O 0.293 0.710 0.740
O 0.293 0.790 0.240
O 0.321 0.749 0.524
O 0.321 0.751 0.024
O 0.341 0.543 0.155
O 0.341 0.957 0.655
O 0.659 0.043 0.345
O 0.659 0.457 0.845
O 0.679 0.249 0.976
O 0.679 0.251 0.476
O 0.707 0.210 0.760
O 0.707 0.290 0.260
O 0.712 0.064 0.863
O 0.712 0.436 0.363
O 0.735 0.746 0.954
O 0.735 0.754 0.454
O 0.736 0.043 0.568
O 0.736 0.457 0.068
O 0.738 0.049 0.068
O 0.738 0.451 0.568
O 0.862 0.726 0.171
O 0.862 0.774 0.671

[2]
Density functional theory data (GGA-PBEsol) for a relaxed structure of Li2CoSn3P6O24.

Calculated values
VASP energy: -256.171 eV per cell

Cell: 8.631 8.631 8.631 Å, 59.37 59.37 59.37°
Fractional coordinates of all 36 atoms:
Li 0.000 0.000 0.000
Li 0.487 0.487 0.487
Co 0.128 0.128 0.128
Sn 0.344 0.344 0.344
Sn 0.627 0.627 0.627
Sn 0.846 0.846 0.846
P 0.031 0.748 0.435
P 0.239 0.514 0.944
P 0.435 0.031 0.748
P 0.514 0.944 0.239
P 0.748 0.435 0.031
P 0.944 0.239 0.514
O 0.005 0.779 0.606
O 0.028 0.929 0.252
O 0.064 0.700 0.953
O 0.084 0.323 0.475
O 0.195 0.347 0.975
O 0.230 0.592 0.395
O 0.252 0.028 0.929
O 0.323 0.475 0.084
O 0.347 0.975 0.195
O 0.389 0.552 0.740
O 0.395 0.230 0.592
O 0.467 0.870 0.695
O 0.475 0.084 0.323
O 0.552 0.740 0.389
O 0.592 0.395 0.230
O 0.606 0.005 0.779
O 0.695 0.467 0.870
O 0.700 0.953 0.064
O 0.740 0.389 0.552
O 0.779 0.606 0.005
O 0.870 0.695 0.467
O 0.929 0.252 0.028
O 0.953 0.064 0.700
O 0.975 0.195 0.347

[3]
Density functional theory data (GGA-PBEsol) for a relaxed structure of Li2CoSnP2O8.

Calculated values
VASP energy: -192.194 eV per cell
Polymorph energy (0 for the lowest one): 8.3 meV per atom

Cell: 4.851 5.776 11.930 Å, 90.00 101.01 90.00°
Fractional coordinates of all 28 atoms:
Li 0.000 0.000 0.000
Li 0.000 0.500 0.000
Li 0.500 0.000 0.500
Li 0.500 0.500 0.500
Co 0.050 0.250 0.685
Co 0.950 0.750 0.315
Sn 0.435 0.250 0.219
Sn 0.565 0.750 0.781
P 0.056 0.250 0.420
P 0.414 0.250 0.894
P 0.586 0.750 0.106
P 0.944 0.750 0.580
O 0.168 0.031 0.366
O 0.168 0.469 0.366
O 0.224 0.250 0.546
O 0.266 0.750 0.594
O 0.267 0.750 0.084
O 0.281 0.040 0.816
O 0.281 0.460 0.816
O 0.292 0.250 0.004
O 0.708 0.750 0.996
O 0.719 0.540 0.184
O 0.719 0.960 0.184
O 0.733 0.250 0.916
O 0.734 0.250 0.406
O 0.776 0.750 0.454
O 0.832 0.531 0.634
O 0.832 0.969 0.634

[4]
Density functional theory data (GGA-PBEsol) for a relaxed structure of Li4CoSn3P4O16.

Calculated values
VASP energy: -190.090 eV per cell

Cell: 4.744 6.828 10.620 Å, 90.00 91.42 90.00°
Fractional coordinates of all 28 atoms:
Li 0.000 0.222 0.000
Li 0.000 0.778 0.000
Li 0.438 0.262 0.481
Li 0.438 0.738 0.481
Co 0.909 0.500 0.266
Sn 0.023 0.000 0.701
Sn 0.396 0.000 0.213
Sn 0.492 0.500 0.775
P 0.020 0.500 0.555
P 0.329 0.500 0.099
P 0.584 0.000 0.922
P 0.837 0.000 0.416
O 0.146 0.500 0.420
O 0.151 0.321 0.627
O 0.151 0.679 0.627
O 0.160 0.000 0.429
O 0.184 0.321 0.162
O 0.184 0.679 0.162
O 0.232 0.500 0.958
O 0.265 0.000 0.943
O 0.651 0.500 0.116
O 0.691 0.182 0.848
O 0.691 0.818 0.848
O 0.698 0.500 0.551
O 0.701 0.000 0.550
O 0.715 0.184 0.345
O 0.715 0.816 0.345
O 0.743 0.000 0.053

[5]
Density functional theory data (GGA-PBEsol) for a relaxed structure of Li2CoSnP2O8.

Calculated values
VASP energy: -384.441 eV per cell
Polymorph energy (0 for the lowest one): 7.4 meV per atom

Cell: 9.693 5.819 11.766 Å, 90.00 100.27 90.00°
Fractional coordinates of all 56 atoms:
Li 0.006 0.000 0.483
Li 0.248 0.972 0.001
Li 0.251 0.473 0.999
Li 0.494 0.949 0.517
Li 0.506 0.449 0.483
Li 0.749 0.973 0.001
Li 0.752 0.472 0.999
Li 0.994 0.500 0.517
Co 0.023 0.213 0.187
Co 0.477 0.737 0.813
Co 0.523 0.237 0.187
Co 0.977 0.713 0.813
Sn 0.221 0.205 0.718
Sn 0.279 0.744 0.282
Sn 0.721 0.244 0.718
Sn 0.779 0.705 0.282
P 0.029 0.216 0.920
P 0.205 0.233 0.397
P 0.295 0.716 0.603
P 0.471 0.735 0.080
P 0.529 0.235 0.920
P 0.705 0.216 0.397
P 0.795 0.733 0.603
P 0.971 0.716 0.080
O 0.082 0.995 0.865
O 0.085 0.428 0.861
O 0.114 0.220 0.046
O 0.119 0.023 0.331
O 0.132 0.722 0.090
O 0.138 0.761 0.581
O 0.144 0.273 0.507
O 0.159 0.429 0.306
O 0.341 0.520 0.695
O 0.356 0.675 0.493
O 0.362 0.188 0.419
O 0.368 0.229 0.910
O 0.381 0.926 0.669
O 0.386 0.731 0.954
O 0.415 0.522 0.139
O 0.418 0.955 0.135
O 0.582 0.455 0.865
O 0.585 0.022 0.861
O 0.614 0.231 0.046
O 0.619 0.426 0.331
O 0.632 0.729 0.090
O 0.638 0.688 0.581
O 0.644 0.175 0.507
O 0.659 0.020 0.305
O 0.841 0.929 0.694
O 0.856 0.773 0.493
O 0.862 0.261 0.419
O 0.868 0.222 0.910
O 0.881 0.523 0.669
O 0.886 0.720 0.954
O 0.915 0.928 0.139
O 0.918 0.495 0.135

[6]
Density functional theory data (GGA-PBEsol) for a relaxed structure of Li2CoSnP2O8.

Calculated values
VASP energy: -191.920 eV per cell
Polymorph energy (0 for the lowest one): 18.1 meV per atom

Cell: 4.756 6.100 11.219 Å, 89.75 89.54 88.57°
Fractional coordinates of all 28 atoms:
Li 0.000 0.000 0.000
Li 0.000 0.500 0.000
Li 0.500 0.000 0.500
Li 0.500 0.500 0.500
Co 0.069 0.252 0.704
Co 0.931 0.748 0.296
Sn 0.493 0.246 0.225
Sn 0.507 0.754 0.775
P 0.077 0.750 0.575
P 0.348 0.753 0.126
P 0.652 0.247 0.874
P 0.923 0.250 0.425
O 0.187 0.960 0.178
O 0.193 0.742 0.446
O 0.210 0.956 0.634
O 0.214 0.558 0.197
O 0.220 0.547 0.640
O 0.246 0.246 0.413
O 0.256 0.736 0.995
O 0.332 0.241 0.858
O 0.668 0.759 0.142
O 0.744 0.264 0.005
O 0.754 0.754 0.587
O 0.780 0.453 0.360
O 0.786 0.442 0.803
O 0.790 0.044 0.366
O 0.807 0.258 0.554
O 0.813 0.040 0.822

[7]
Density functional theory data (GGA-PBEsol) for a relaxed structure of Li2Ti4CoP4O20.

Calculated values
VASP energy: -250.702 eV per cell

Cell: 6.405 7.247 7.343 Å, 89.94 89.67 89.87°
Fractional coordinates of all 31 atoms:
Li 0.000 0.000 0.000
Li 0.000 0.500 0.500
Ti 0.251 0.220 0.335
Ti 0.261 0.270 0.844
Ti 0.739 0.730 0.156
Ti 0.749 0.780 0.665
Co 0.500 0.500 0.500
P 0.244 0.871 0.623
P 0.248 0.628 0.126
P 0.752 0.372 0.874
P 0.756 0.129 0.377
O 0.051 0.746 0.612
O 0.054 0.751 0.138
O 0.231 0.166 0.109
O 0.231 0.998 0.789
O 0.244 0.510 0.953
O 0.255 0.501 0.299
O 0.262 0.983 0.445
O 0.272 0.349 0.612
O 0.437 0.742 0.636
O 0.444 0.749 0.125
O 0.556 0.251 0.875
O 0.563 0.258 0.364
O 0.728 0.651 0.388
O 0.738 0.017 0.555
O 0.745 0.499 0.701
O 0.756 0.490 0.047
O 0.769 0.002 0.211
O 0.769 0.834 0.891
O 0.946 0.249 0.862
O 0.949 0.254 0.388

[8]
Density functional theory data (GGA-PBEsol) for a relaxed structure of Li4V3CoP4O16.

Calculated values
VASP energy: -209.996 eV per cell

Cell: 4.671 5.940 10.176 Å, 90.00 90.01 90.00°
Fractional coordinates of all 28 atoms:
Li 0.000 0.246 0.000
Li 0.000 0.754 0.000
Li 0.497 0.246 0.514
Li 0.497 0.754 0.514
V 0.484 0.000 0.233
V 0.511 0.500 0.782
V 0.981 0.500 0.280
Co 0.019 0.000 0.733
P 0.078 0.500 0.601
P 0.417 0.500 0.100
P 0.575 0.000 0.915
P 0.917 0.000 0.414
O 0.198 0.500 0.458
O 0.220 0.295 0.672
O 0.220 0.705 0.672
O 0.245 0.000 0.410
O 0.248 0.000 0.916
O 0.278 0.294 0.173
O 0.278 0.706 0.173
O 0.291 0.500 0.959
O 0.705 0.000 0.056
O 0.710 0.209 0.845
O 0.710 0.791 0.845
O 0.744 0.500 0.102
O 0.750 0.500 0.604
O 0.778 0.206 0.339
O 0.778 0.794 0.339
O 0.792 0.000 0.553